A relaxed PaBe13 crystal. Source: Alexandria via LeMat-Bulk, functional GGA-PBE.

Cell and atoms, written as POSCAR:
```
PaBe13
1.0
0.000 5.105 5.105
5.105 0.000 5.105
5.105 5.105 0.000
Pa Be
2 26
direct
0.250 0.250 0.250
0.750 0.750 0.750
0.000 0.000 0.000
0.060 0.291 0.709
0.060 0.709 0.940
0.060 0.940 0.291
0.209 0.440 0.791
0.209 0.560 0.440
0.209 0.791 0.560
0.291 0.060 0.940
0.291 0.709 0.060
0.291 0.940 0.709
0.440 0.209 0.560
0.440 0.560 0.791
0.440 0.791 0.209
0.500 0.500 0.500
0.560 0.209 0.791
0.560 0.440 0.209
0.560 0.791 0.440
0.709 0.060 0.291
0.709 0.291 0.940
0.709 0.940 0.060
0.791 0.209 0.440
0.791 0.440 0.560
0.791 0.560 0.209
0.940 0.060 0.709
0.940 0.291 0.060
0.940 0.709 0.291
```

Summary:
Energy relative to the elements in eV per atom: -0.138